SrTl2WF8 | GGA+U | optimized geometry

Calculated values
- Raw total energy: -61.01 eV/f.u.
- Symmetry: P-1

a b c (Å): 4.457 6.577 7.785
angles (deg): 89.62 90.09 94.78
Sites, in units of the cell vectors:
F1 0.913 0.183 0.210
F2 0.616 0.823 0.995
F3 0.534 0.775 0.498
F4 0.087 0.817 0.790
W1 0.000 0.000 0.000
F5 0.466 0.225 0.502
F6 0.098 0.823 0.203
Tl1 0.495 0.511 0.750
F7 0.902 0.177 0.797
Tl2 0.505 0.489 0.250
Sr1 0.000 0.000 0.500
F8 0.384 0.177 0.005